Record 1
Computed, not measured: crystalline Nd8CoRu3Cl4 at its relaxed geometry at the PBE level of DFT.

Cell lengths 8.0513, 8.0513, 22.8752 Å; angles 90.00, 90.00, 120.00 degrees
With the nearest neighbours (Å) after each atom.
Space group R-3m (No. 166, hexagonal axes)
One atom of each set of equivalent atoms:
Nd (0.0000, 0.0000, 0.2359)  3 Ru 2.81
Nd (0.0028, 0.5014, 0.2348)  1 Co 2.78, 2 Ru 2.81
Co (0.0000, 0.0000, 0.5000)  6 Nd 2.78
Ru (0.0000, 0.5000, 0.5000)  6 Nd 2.81
Cl (0.0000, 0.0000, 0.0000)  6 Nd 3.25
Cl (0.0000, 0.5000, 0.0000)  6 Nd 3.22-3.23

Final energy   -94.02 eV per formula unit
Uncorrected formation energy   -848 meV per atom
Density   6431 kg/m³

=====

Record 2
Computed, not measured: crystalline Nd6Co2RuCl3 at its relaxed geometry at the PBE level of DFT.

Cell lengths 19.0800, 3.9688, 8.9095 Å; angles 90.00, 112.04, 90.00 degrees
With the nearest neighbours (Å) after each atom.
Space group C2/m (No. 12)
One atom of each set of equivalent atoms:
Nd (0.0109, 0.0000, 0.2301)  1 Co 2.79, 2 Ru 2.80
Nd (0.1577, 0.5000, 0.1119)  2 Co 2.77, 1 Ru 2.79
Nd (0.1785, 0.5000, 0.5565)  3 Co 2.71-2.75
Co (0.1682, 0.0000, 0.3360)  6 Nd 2.71-2.79
Ru (0.0000, 0.5000, 0.0000)  6 Nd 2.79-2.80
Cl (0.0000, 0.5000, 0.5000)  6 Nd 3.18-3.25
Cl (0.1661, 0.0000, 0.8324)  6 Nd 3.21-3.24

Final energy   -67.76 eV per formula unit
Uncorrected formation energy   -844 meV per atom
Density   6324 kg/m³

=====

Record 3
Computed, not measured: crystalline Nd6CoRu2Cl3 at its relaxed geometry at the PBE level of DFT.

Cell lengths 6.9412, 12.0231, 7.9892 Å; angles 90.00, 106.86, 90.00 degrees
With the nearest neighbours (Å) after each atom.
Space group C2/m (No. 12)
One atom of each set of equivalent atoms:
Nd (0.2323, 0.1639, 0.2052)  1 Co 2.76, 2 Ru 2.81
Nd (0.2408, 0.5000, 0.2052)  1 Co 2.76, 2 Ru 2.81
Co (0.0000, 0.0000, 0.0000)  6 Nd 2.76
Ru (0.0000, 0.3334, 0.0000)  6 Nd 2.81
Cl (0.0000, 0.1681, 0.5000)  6 Nd 3.22-3.25
Cl (0.0000, 0.5000, 0.5000)  6 Nd 3.22-3.26

Final energy   -70.01 eV per formula unit
Uncorrected formation energy   -850 meV per atom
Density   6417 kg/m³

=====

Record 4
Computed, not measured: crystalline Nd4CoS2Cl at its relaxed geometry at the PBE level of DFT.

Cell lengths 7.1634, 3.9579, 7.2111 Å; angles 90.00, 108.50, 90.00 degrees
With the nearest neighbours (Å) after each atom.
Space group P2/m (No. 10)
One atom of each set of equivalent atoms:
Nd (0.2366, 0.0000, 0.2281)  2 Co 2.78, 3 S 2.87-3.00, 1 Cl 2.97
Nd (0.2602, 0.5000, 0.7681)  3 S 2.80-2.97, 1 Co 2.87, 2 Cl 2.97
Co (0.0000, 0.5000, 0.0000)  6 Nd 2.78-2.87
S (0.5000, 0.0000, 0.0000)  6 Nd 2.80-2.87
S (0.5000, 0.5000, 0.5000)  6 Nd 2.97-3.00
Cl (0.0000, 0.0000, 0.5000)  6 Nd 2.97

Final energy   -47.10 eV per formula unit
Uncorrected formation energy   -1353 meV per atom
Density   6299 kg/m³

=====

Record 5
Computed, not measured: crystalline Nd6Co2SeCl3 at its relaxed geometry at the PBE level of DFT.

Cell lengths 18.4975, 4.0085, 8.8345 Å; angles 90.00, 105.64, 90.00 degrees
With the nearest neighbours (Å) after each atom.
Space group C2/m (No. 12)
One atom of each set of equivalent atoms:
Nd (0.0197, 0.0000, 0.2532)  1 Co 2.64, 2 Se 2.95
Nd (0.1699, 0.5000, 0.1238)  2 Co 2.72, 1 Se 3.04
Nd (0.1782, 0.5000, 0.5558)  3 Co 2.75-2.79
Co (0.1680, 0.0000, 0.3316)  6 Nd 2.64-2.79
Se (0.0000, 0.5000, 0.0000)  6 Nd 2.95-3.04
Cl (0.0000, 0.5000, 0.5000)  6 Nd 3.05-3.20
Cl (0.1571, 0.0000, 0.8324)  6 Nd 3.12-3.26

Final energy   -64.84 eV per formula unit
Uncorrected formation energy   -1083 meV per atom
Density   6153 kg/m³

=====

Record 6
Computed, not measured: crystalline Nd4CoSe2Cl at its relaxed geometry at the PBE level of DFT.

Cell lengths 7.3359, 4.0338, 7.3728 Å; angles 90.00, 108.42, 90.00 degrees
With the nearest neighbours (Å) after each atom.
Space group P2/m (No. 10)
One atom of each set of equivalent atoms:
Nd (0.2199, 0.0000, 0.2225)  2 Co 2.77, 1 Se 2.98, 1 Cl 3.01
Nd (0.2363, 0.5000, 0.7532)  1 Co 2.88, 3 Se 2.92-3.08, 2 Cl 2.98
Co (0.0000, 0.5000, 0.0000)  6 Nd 2.77-2.88
Se (0.0000, 0.0000, 0.5000)  6 Nd 2.92-2.98
Se (0.5000, 0.5000, 0.5000)  6 Nd 3.08-3.13
Cl (0.5000, 0.0000, 0.0000)  6 Nd 2.98-3.01

Final energy   -45.19 eV per formula unit
Uncorrected formation energy   -1274 meV per atom
Density   6653 kg/m³